1.
# InFeCl2 PBE-GGA relaxed
# Formation energy from raw total energies = -23.74 kJ/mol of atoms
# ΔE to the lowest computed polymorph = 0.1960 eV per atom
data_InFeCl2
_cell_length_a 3.1392
_cell_length_b 3.1392
_cell_length_c 8.8390
_cell_angle_alpha 90.00
_cell_angle_beta 90.00
_cell_angle_gamma 90.00
_space_group_name_H-M_alt 'P 4/m m m'
_space_group_IT_number 123
_space_group_name_Hall '-P 4 2'
loop_
_atom_site_label
_atom_site_fract_x
_atom_site_fract_y
_atom_site_fract_z
In1 0.0000 0.0000 0.0000
Fe1 0.0000 0.0000 0.5000
Cl1 0.5000 0.5000 0.3281

2.
# InFe2Cl PBE-GGA relaxed
# Formation energy from raw total energies = 43.97 kJ/mol of atoms
# ΔE to the lowest computed polymorph = 0.4039 eV per atom
data_InFe2Cl
_cell_length_a 2.9139
_cell_length_b 4.5409
_cell_length_c 5.1967
_cell_angle_alpha 90.00
_cell_angle_beta 90.00
_cell_angle_gamma 90.00
_space_group_name_H-M_alt 'P m m m'
_space_group_IT_number 47
loop_
_space_group_symop_operation_xyz
'x,y,z'
'-x,-y,-z'
'-x,-y,z'
'x,y,-z'
'x,-y,-z'
'-x,y,z'
'-x,y,-z'
'x,-y,z'
loop_
_atom_site_label
_atom_site_fract_x
_atom_site_fract_y
_atom_site_fract_z
In1 0.0000 0.0000 0.0000
Fe1 0.0000 0.5000 0.5000
Fe2 0.5000 0.5000 0.0000
Cl1 0.5000 0.0000 0.5000